## Ta3CrO (GGA+U)

Data for crystalline Ta3CrO at its relaxed geometry.

The value obtained for the mass density is 13077 kg/m3. The raw total energy is -49.53 eV for the cell shown. The value obtained for the size of the total moment is 3.029 Bohr magnetons per cell. Its space group is Pm-3m (221). The energy above the most stable polymorph in this dataset is 0 meV per atom.

a = 4.2647 Å, b = 4.2647 Å, c = 4.2647 Å
α = 90.00°, β = 90.00°, γ = 90.00°
Closest atoms and distances in Å follow each position.
Element x y z (fractional)
Cr  0.5000  0.5000  0.5000  12 Ta 3.02
Ta  0.0000  0.0000  0.5000  2 O 2.13
Ta  0.5000  0.0000  0.0000  2 O 2.13
Ta  0.0000  0.5000  0.0000  2 O 2.13
O  0.0000  0.0000  0.0000  6 Ta 2.13